Crystalline MoIr2Rh8 at its relaxed geometry, computed with GGA-PBE.

Lattice parameters (Å, degrees): 4.1488 6.4668 6.4668 103.75 90.00 90.00
With the nearest neighbours (Å) after each atom.
Element x y z (fractional)
Ir 0.0000 0.3779 0.6221  4 Rh 2.46-2.67, 1 Ir 2.49
Ir 0.0000 0.6221 0.3779  4 Rh 2.46-2.67, 1 Ir 2.49
Rh 0.5000 0.7527 0.2473  2 Ir 2.46, 1 Mo 2.52, 4 Rh 2.73
Rh 0.0000 0.7032 0.9657  7 Rh 2.64-2.80, 2 Ir 2.67-2.84, 2 Mo 2.80
Rh 0.5000 0.6697 0.6697  1 Mo 2.64, 7 Rh 2.71-2.91, 4 Ir 2.77
Rh 0.0000 0.2968 0.0343  7 Rh 2.64-2.80, 2 Ir 2.67-2.84, 2 Mo 2.80
Rh 0.5000 0.2473 0.7527  2 Ir 2.46, 1 Mo 2.52, 4 Rh 2.73
Rh 0.0000 0.0343 0.2968  7 Rh 2.64-2.80, 2 Ir 2.67-2.84, 2 Mo 2.80
Rh 0.5000 0.3303 0.3303  1 Mo 2.64, 7 Rh 2.71-2.91, 4 Ir 2.77
Rh 0.0000 0.9657 0.7032  7 Rh 2.64-2.80, 2 Ir 2.67-2.84, 2 Mo 2.80
Mo 0.5000 0.0000 0.0000  12 Rh 2.52-2.80

Summary:
Its formation enthalpy at 0 K is 0.147 eV per atom.

***

Crystalline K2RbH at its relaxed geometry, computed with GGA-PBE.

Lattice parameters (Å, degrees): 8.5962 8.5962 8.6079 60.04 60.04 90.00
With the nearest neighbours (Å) after each atom.
Element x y z (fractional)
H 0.2500 0.7500 0.5000  4 K 2.63
H 0.5000 0.5000 0.0000  4 K 2.63
K 0.3750 0.6199 0.7500  2 H 2.63
K 0.3801 0.1250 0.2500  2 H 2.63
K 0.8750 0.6301 0.7500  2 H 2.63
K 0.3699 0.6250 0.2500  2 H 2.63
Rb 0.0000 0.0000 0.0000  12 K 5.00-5.08, 4 H 5.27, 4 Rb 5.27
Rb 0.7500 0.2500 0.5000  12 K 5.00-5.08, 4 H 5.27, 4 Rb 5.27

Summary:
The offset from the most stable computed form comes out at 0.00 eV per formula unit.

***

Crystalline KThSb2Pt2 at its relaxed geometry, computed with GGA-PBE.

Lattice parameters (Å, degrees): 4.4724 4.4724 9.8379 90.00 90.00 120.00
With the nearest neighbours (Å) after each atom.
Element x y z (fractional)
Pt 0.3333 0.6667 0.3246  3 Sb 2.66
Pt 0.6667 0.3333 0.6754  3 Sb 2.66
Sb 0.6667 0.3333 0.2583  3 Pt 2.66
Sb 0.3333 0.6667 0.7417  3 Pt 2.66
Th 0.0000 0.0000 0.5000  6 Pt 3.11
K 0.0000 0.0000 0.0000  6 Sb 3.62

Summary:
For the uncorrected formation energy, the calculation gives -0.872 eV per atom.

***

Crystalline Pm7Sm3Dy at its relaxed geometry, computed with GGA-PBE.

Lattice parameters (Å, degrees): 8.7460 7.2046 7.2046 120.00 90.00 90.00
With the nearest neighbours (Å) after each atom.
Element x y z (fractional)
Sm 0.7823 0.4996 0.5004  5 Pm 3.56-3.64, 4 Sm 3.59-3.61, 1 Dy 3.62
Sm 0.7823 0.0007 0.5004  5 Pm 3.56-3.64, 4 Sm 3.59-3.61, 1 Dy 3.62
Sm 0.7823 0.4996 0.9993  5 Pm 3.56-3.64, 4 Sm 3.59-3.61, 1 Dy 3.62
Pm 0.1147 0.6654 0.8327  1 Dy 3.55, 2 Sm 3.57, 8 Pm 3.59-3.62
Pm 0.4524 0.8329 0.6657  7 Pm 3.55-3.62, 2 Sm 3.56, 2 Dy 3.60
Pm 0.1231 0.6667 0.3333  9 Pm 3.55-3.60, 3 Sm 3.64
Pm 0.1147 0.1673 0.8327  1 Dy 3.55, 2 Sm 3.57, 8 Pm 3.59-3.62
Pm 0.1147 0.1673 0.3346  1 Dy 3.55, 2 Sm 3.57, 8 Pm 3.59-3.62
Pm 0.4524 0.8329 0.1671  7 Pm 3.55-3.62, 2 Sm 3.56, 2 Dy 3.60
Pm 0.4524 0.3343 0.1671  7 Pm 3.55-3.62, 2 Sm 3.56, 2 Dy 3.60
Dy 0.4438 0.3333 0.6667  9 Pm 3.55-3.60, 3 Sm 3.62

Summary:
The offset from the most stable computed form comes out at 0.00 eV per formula unit. Its formation enthalpy at 0 K is 0.173 eV per atom.

***

Crystalline Ba2NaGaCu at its relaxed geometry, computed with GGA-PBE.

Lattice parameters (Å, degrees): 6.3645 6.3645 4.6845 90.00 90.00 90.00
With the nearest neighbours (Å) after each atom.
Element x y z (fractional)
Na 0.5000 0.5000 0.5000  8 Ba 3.95
Ba 0.0000 0.5000 0.0000  2 Cu 3.18
Ba 0.5000 0.0000 0.0000  2 Cu 3.18
Cu 0.0000 0.0000 0.0000  2 Ga 2.34
Ga 0.0000 0.0000 0.5000  2 Cu 2.34

Summary:
Its formation enthalpy at 0 K is -0.072 eV per atom.

***

Crystalline TlIn5 at its relaxed geometry, computed with GGA-PBE.

Lattice parameters (Å, degrees): 3.4981 3.4981 13.6464 90.00 90.00 90.00
With the nearest neighbours (Å) after each atom.
Element x y z (fractional)
In 0.5000 0.5000 0.6632  12 In 3.33-3.50
In 0.5000 0.5000 0.3368  12 In 3.33-3.50
In 0.0000 0.0000 0.1733  8 In 3.33-3.50, 4 Tl 3.42
In 0.0000 0.0000 0.8267  8 In 3.33-3.50, 4 Tl 3.42
In 0.0000 0.0000 0.5000  12 In 3.33-3.50
Tl 0.5000 0.5000 0.0000  8 In 3.42, 4 Tl 3.50

Summary:
The offset from the most stable computed form comes out at 0.00 eV per formula unit. Its formation enthalpy at 0 K is 0.015 eV per atom.

***

Crystalline NdHo6Th2 at its relaxed geometry, computed with GGA-PBE.

Lattice parameters (Å, degrees): 6.5998 9.5488 9.5488 96.59 82.12 82.12
With the nearest neighbours (Å) after each atom.
Element x y z (fractional)
Ho 0.9941 0.7264 0.3453  1 Nd 3.28, 5 Ho 3.31-3.52, 3 Th 3.39-3.48
Ho 0.1820 0.0523 0.2257  2 Nd 3.36-3.67, 4 Ho 3.43-3.74, 2 Th 3.51-3.54
Ho 0.3180 0.7743 0.9477  2 Nd 3.36-3.67, 4 Ho 3.43-3.74, 2 Th 3.51-3.54
Ho 0.7728 0.5420 0.9372  6 Ho 3.41-3.52, 2 Th 3.46-3.66, 1 Nd 3.48
Ho 0.2272 0.4580 0.0628  6 Ho 3.41-3.52, 2 Th 3.46-3.66, 1 Nd 3.48
Ho 0.4941 0.3453 0.7264  1 Nd 3.28, 5 Ho 3.31-3.52, 3 Th 3.39-3.48
Ho 0.0059 0.2736 0.6547  1 Nd 3.28, 5 Ho 3.31-3.52, 3 Th 3.39-3.48
Ho 0.8180 0.9477 0.7743  2 Nd 3.36-3.67, 4 Ho 3.43-3.74, 2 Th 3.51-3.54
Ho 0.7272 0.0628 0.4580  6 Ho 3.41-3.52, 2 Th 3.46-3.66, 1 Nd 3.48
Ho 0.6820 0.2257 0.0523  2 Nd 3.36-3.67, 4 Ho 3.43-3.74, 2 Th 3.51-3.54
Ho 0.5059 0.6547 0.2736  1 Nd 3.28, 5 Ho 3.31-3.52, 3 Th 3.39-3.48
Ho 0.2728 0.9372 0.5420  6 Ho 3.41-3.52, 2 Th 3.46-3.66, 1 Nd 3.48
Th 0.1226 0.6092 0.6584  3 Th 3.37-3.47, 7 Ho 3.39-3.66
Th 0.8774 0.3908 0.3416  3 Th 3.37-3.47, 7 Ho 3.39-3.66
Th 0.6226 0.6584 0.6092  3 Th 3.37-3.47, 7 Ho 3.39-3.66
Th 0.3774 0.3416 0.3908  3 Th 3.37-3.47, 7 Ho 3.39-3.66
Nd 0.2500 0.1152 0.8848  8 Ho 3.28-3.67
Nd 0.7500 0.8848 0.1152  8 Ho 3.28-3.67

Summary:
The offset from the most stable computed form comes out at 0.56 eV per formula unit. Its formation enthalpy at 0 K is 0.140 eV per atom.